[1]
## TlClF (PBE)

Data for an optimized crystal structure of TlClF.

abc: 3.9461 6.8881 8.0446
angles: 127.36 90.00 106.65
Fractional positions:
Tl1 0.0000 0.0000 0.0000
Tl2 0.5000 0.0000 0.5000
Cl1 0.3233 0.6467 0.8021
Cl2 0.6767 0.3533 0.1979
F1 0.9880 0.9761 0.2557
F2 0.0120 0.0239 0.7443

Offset from the most stable computed form: 0.02 eV per formula unit
E_form (uncorrected): -1.322 eV/atom
Space group: No. 12
E_tot: -3.35 eV/atom

=====

[2]
## HfIrRh (PBE)

Data for an optimized crystal structure of HfIrRh.

abc: 4.3685 5.4112 5.4112
angles: 98.69 66.19 66.19
Fractional positions:
Hf1 0.0000 0.8158 0.1842
Hf2 0.0000 0.1842 0.8158
Rh1 0.5000 0.6527 0.3473
Rh2 0.5000 0.3473 0.6527
Ir1 0.7508 0.7492 0.7492
Ir2 0.2492 0.2508 0.2508

Offset from the most stable computed form: 0.76 eV per formula unit
Space group: No. 71
ΔE_f: -551 meV per atom
E_tot: -9.27 eV/atom

=====

[3]
## CeGe4Rh6 (PBE)

Data for an optimized crystal structure of CeGe4Rh6.

abc: 7.2240 7.2240 3.8689
angles: 90.00 90.00 120.00
Last column: magnetic moment on the atom in μB.
Fractional positions:
Ce1 0.0000 0.0000 0.0000  0.31
Ge1 0.6667 0.3333 0.0000  0.00
Ge2 0.1982 0.8018 0.5000  0.00
Ge3 0.1982 0.3965 0.5000  0.00
Ge4 0.6035 0.8018 0.5000  0.00
Rh1 0.4669 0.5331 0.0000  0.00
Rh2 0.4669 0.9338 0.0000  0.00
Rh3 0.0662 0.5331 0.0000  0.00
Rh4 0.8015 0.1985 0.5000  -0.02
Rh5 0.8015 0.6030 0.5000  -0.02
Rh6 0.3970 0.1985 0.5000  -0.02

Offset from the most stable computed form: 0.00 eV per formula unit
Space group: No. 187
ΔE_f: -750 meV per atom
E_tot: -6.98 eV/atom